No. 1
Computed, not measured: an optimized crystal structure of PaMnNb2N4 at the PBE level of DFT.

Its uncorrected formation energy is -1.020 eV/atom.

It has space group Cmcm (No. 63), with a = 3.145 Å, b = 10.810 Å, c = 10.857 Å, α = 90.00°, β = 90.00° and γ = 90.00°. The distinct sites, in fractional coordinates, are Pa at (0.000, 0.106, 0.250), Mn at (0.000, 0.156, 0.750), Nb at (0.000, 0.366, 0.057), N at (0.000, 0.000, 0.000), N at (0.000, 0.277, 0.620) and N at (0.000, 0.446, 0.250).

***

No. 2
Computed, not measured: an optimized crystal structure of MnNb2PdN at the PBE level of DFT.

Its uncorrected formation energy is -0.442 eV/atom.

It has space group P4/mmm (No. 123), with a = 4.268 Å, b = 4.268 Å, c = 3.787 Å, α = 90.00°, β = 90.00° and γ = 90.00°. The distinct sites, in fractional coordinates, are Mn at (0.000, 0.000, 0.000), Nb at (0.000, 0.500, 0.500), Pd at (0.500, 0.500, 0.000) and N at (0.000, 0.000, 0.500).

***

No. 3
Computed, not measured: an optimized crystal structure of Pm2MnNbN5 at the PBE level of DFT.

Its uncorrected formation energy is -0.977 eV/atom.

It has space group Cmc2_1 (No. 36), with a = 3.281 Å, b = 14.121 Å, c = 10.098 Å, α = 90.00°, β = 90.00° and γ = 90.00°. The distinct sites, in fractional coordinates, are Pm at (0.000, 0.119, 0.000), Pm at (0.000, 0.130, 0.632), Mn at (0.000, 0.452, 0.751), Nb at (0.000, 0.206, 0.332), N at (0.000, 0.033, 0.322), N at (0.000, 0.300, 0.969), N at (0.000, 0.323, 0.687), N at (0.000, 0.342, 0.315) and N at (0.000, 0.500, 0.091).

***

No. 4
Computed, not measured: an optimized crystal structure of PrMnNb2N4 at the PBE level of DFT.

Its uncorrected formation energy is -0.919 eV/atom.

It has space group Cmcm (No. 63), with a = 3.159 Å, b = 11.063 Å, c = 10.904 Å, α = 90.00°, β = 90.00° and γ = 90.00°. The distinct sites, in fractional coordinates, are Pr at (0.000, 0.105, 0.250), Mn at (0.000, 0.160, 0.750), Nb at (0.000, 0.369, 0.055), N at (0.000, 0.000, 0.000), N at (0.000, 0.269, 0.613) and N at (0.000, 0.439, 0.250).

***

No. 5
Computed, not measured: an optimized crystal structure of MnNb2PtN at the PBE level of DFT.

Its uncorrected formation energy is -0.584 eV/atom.

It has space group P4/mmm (No. 123), with a = 4.242 Å, b = 4.242 Å, c = 3.828 Å, α = 90.00°, β = 90.00° and γ = 90.00°. The distinct sites, in fractional coordinates, are Mn at (0.000, 0.000, 0.000), Nb at (0.000, 0.500, 0.500), Pt at (0.500, 0.500, 0.000) and N at (0.000, 0.000, 0.500).

***

No. 6
Computed, not measured: an optimized crystal structure of PuMnNb2N4 at the PBE level of DFT.

Its uncorrected formation energy is -0.929 eV/atom.

It has space group Cmcm (No. 63), with a = 3.124 Å, b = 10.859 Å, c = 10.836 Å, α = 90.00°, β = 90.00° and γ = 90.00°. The distinct sites, in fractional coordinates, are Pu at (0.000, 0.105, 0.250), Mn at (0.000, 0.159, 0.750), Nb at (0.000, 0.368, 0.053), N at (0.000, 0.000, 0.000), N at (0.000, 0.273, 0.617) and N at (0.000, 0.444, 0.250).

***

No. 7
Computed, not measured: an optimized crystal structure of Pu2MnNbN5 at the PBE level of DFT.

Its uncorrected formation energy is -0.919 eV/atom.

It has space group Cmc2_1 (No. 36), with a = 3.222 Å, b = 12.901 Å, c = 10.046 Å, α = 90.00°, β = 90.00° and γ = 90.00°. The distinct sites, in fractional coordinates, are Pu at (0.000, 0.105, 0.000), Pu at (0.000, 0.145, 0.612), Mn at (0.000, 0.478, 0.769), Nb at (0.000, 0.208, 0.318), N at (0.000, 0.045, 0.364), N at (0.000, 0.284, 0.965), N at (0.000, 0.324, 0.677), N at (0.000, 0.370, 0.306) and N at (0.000, 0.487, 0.090).

***

No. 8
Computed, not measured: an optimized crystal structure of MnNbRe2N at the PBE level of DFT.

Its uncorrected formation energy is 3.213 eV/atom.

It has space group P4/mmm (No. 123), with a = 4.724 Å, b = 4.724 Å, c = 4.786 Å, α = 90.00°, β = 90.00° and γ = 90.00°. The distinct sites, in fractional coordinates, are Mn at (0.000, 0.000, 0.000), Nb at (0.000, 0.000, 0.500), Re at (0.000, 0.500, 0.500) and N at (0.500, 0.500, 0.000).